Record 1
A plane-wave DFT calculation with GGA-PBE was carried out for a relaxed structure of Pm2Dy2H.

Cell and atoms, written as POSCAR:
```
Pm2Dy2H
1.0
5.069 0.000 0.000
0.000 5.049 0.000
0.000 0.000 5.049
Pm Dy H
2 2 1
direct
0.500 0.500 0.500
0.500 0.000 0.000
0.000 0.000 0.500
0.000 0.500 0.000
0.000 0.000 0.000
```

Calculated values
As for the crystal system: tetragonal. As for the space group: P4/mmm. Its total energy is -22.908 eV/f.u. As for the density of states at the Fermi level: 5.289 states/eV per cell.


Record 2
A plane-wave DFT calculation with GGA-PBE was carried out for a relaxed structure of RbCaAgTe2.

Cell and atoms, written as POSCAR:
```
RbCaAgTe2
1.0
6.275 0.000 0.000
0.000 7.671 0.000
0.000 -3.835 8.250
Rb Ca Ag Te
2 2 2 4
direct
0.222 0.750 0.500
0.778 0.250 0.500
0.500 0.750 0.000
0.500 0.250 0.000
0.000 0.000 0.000
0.000 0.500 0.000
0.722 0.879 0.758
0.722 0.621 0.242
0.278 0.379 0.758
0.278 0.121 0.242
```

Calculated values
The energy relative to the elements, uncorrected comes out at -90.66 kJ/mol of atoms. As for the crystal system: orthorhombic. As for the space group: Cmme. As for the density of states at the Fermi level: 0.000 states/eV per cell.


Record 3
A plane-wave DFT calculation with GGA-PBE was carried out for a relaxed structure of RbSr4Bi4.

Cell and atoms, written as POSCAR:
```
RbSr4Bi4
1.0
-3.051 -6.024 -0.388
9.976 -4.979 -1.151
0.740 -1.091 11.131
Rb Sr Bi
2 8 8
direct
0.000 0.000 0.000
0.500 0.500 0.500
0.399 0.351 0.878
0.899 0.622 0.851
0.399 0.649 0.122
0.101 0.149 0.622
0.601 0.878 0.649
0.101 0.851 0.378
0.899 0.378 0.149
0.601 0.122 0.351
0.599 0.816 0.345
0.599 0.184 0.655
0.099 0.845 0.684
0.901 0.316 0.845
0.901 0.684 0.155
0.401 0.345 0.184
0.401 0.655 0.816
0.099 0.155 0.316
```

Calculated values
As for the crystal system: tetragonal. As for the space group: P4_2/n. For the energy of formation, the calculation gives -0.639 eV/atom. As for the density of states at the Fermi level: 11.020 states/eV per cell.


Record 4
A plane-wave DFT calculation with GGA-PBE was carried out for a relaxed structure of Li5Rh4.

Cell and atoms, written as POSCAR:
```
Li5Rh4
1.0
-4.704 4.704 1.389
4.704 -4.704 1.389
4.704 4.704 -1.389
Li Rh
5 4
direct
0.000 0.000 0.000
0.328 0.672 0.000
0.672 0.328 0.000
0.672 0.672 0.344
0.328 0.328 0.656
0.329 0.000 0.329
0.671 0.000 0.671
0.000 0.671 0.671
0.000 0.329 0.329
```

Calculated values
The energy above the most stable polymorph in this dataset is 0.0000 eV/atom. As for the crystal system: tetragonal. As for the space group: I4/mmm. For the energy of formation, the calculation gives -0.032 eV/atom. As for the density of states at the Fermi level: 9.292 states/eV per cell.


Record 5
A plane-wave DFT calculation with GGA-PBE was carried out for a relaxed structure of Ca2DyHg.

Cell and atoms, written as POSCAR:
```
Ca2DyHg
1.0
-2.297 -2.981 0.342
0.255 -2.871 -2.443
6.489 -6.742 5.680
Ca Dy Hg
2 1 1
direct
0.073 0.073 0.781
0.260 0.260 0.220
0.501 0.501 0.498
0.666 0.666 0.001
```

Calculated values
The energy above the most stable polymorph in this dataset is 0.0185 eV/atom. As for the crystal system: trigonal. As for the space group: R3m. For the energy of formation, the calculation gives -0.121 eV/atom. As for the density of states at the Fermi level: 4.262 states/eV per cell.


Record 6
A plane-wave DFT calculation with GGA-PBE was carried out for a relaxed structure of Nd2PuIr2.

Cell and atoms, written as POSCAR:
```
Nd2PuIr2
1.0
-4.559 3.339 1.870
3.489 -2.808 4.047
4.285 6.613 -1.360
Nd Pu Ir
4 2 4
direct
0.514 0.298 0.149
0.215 0.702 0.351
0.486 0.702 0.851
0.785 0.298 0.649
0.869 0.000 0.250
0.131 0.000 0.750
0.720 0.721 0.496
0.000 0.279 0.004
0.280 0.279 0.504
0.000 0.721 0.996
```

Calculated values
As for the crystal system: monoclinic. As for the space group: C2/c. For the energy of formation, the calculation gives -0.559 eV/atom. As for the density of states at the Fermi level: 15.372 states/eV per cell.


Record 7
A plane-wave DFT calculation with GGA-PBE was carried out for a relaxed structure of HfNiTeN2.

Cell and atoms, written as POSCAR:
```
HfNiTeN2
1.0
4.032 0.000 0.000
0.000 4.032 0.000
0.000 0.000 6.094
Ni Te Hf N
1 1 1 2
direct
0.500 0.500 0.500
0.000 0.000 0.500
0.000 0.000 0.000
0.000 0.500 0.000
0.500 0.000 0.000
```

Calculated values
The energy relative to the elements, uncorrected comes out at 56.70 kJ/mol of atoms. The energy above the most stable polymorph in this dataset is 0.0000 eV/atom. As for the crystal system: tetragonal. As for the space group: P4/mmm. As for the density of states at the Fermi level: 5.462 states/eV per cell.


Record 8
A plane-wave DFT calculation with GGA-PBE was carried out for a relaxed structure of Na2OsBr6.

Cell and atoms, written as POSCAR:
```
Na2OsBr6
1.0
-2.910 -4.721 4.317
5.898 0.354 4.363
-4.200 7.778 5.046
Na Os Br
4 2 12
direct
0.967 0.401 0.771
0.533 0.901 0.729
0.467 0.099 0.271
0.033 0.599 0.229
0.500 0.500 0.000
0.000 0.000 0.500
0.877 0.976 0.266
0.829 0.712 0.554
0.788 0.685 0.942
0.712 0.185 0.558
0.671 0.212 0.946
0.623 0.476 0.234
0.123 0.024 0.734
0.171 0.288 0.446
0.212 0.315 0.058
0.288 0.815 0.442
0.329 0.788 0.054
0.377 0.524 0.766
```

Calculated values
The energy relative to the elements, uncorrected comes out at -71.55 kJ/mol of atoms. As for the crystal system: monoclinic. As for the space group: P2_1/c. As for the density of states at the Fermi level: 10.077 states/eV per cell.


Record 9
A plane-wave DFT calculation with GGA-PBE was carried out for a relaxed structure of MnCo2Ru4.

Cell and atoms, written as POSCAR:
```
MnCo2Ru4
1.0
-1.969 3.297 2.094
-2.810 0.432 -3.324
-6.046 -1.966 1.978
Ru Mn Co
4 1 2
direct
0.804 0.804 0.392
0.196 0.196 0.608
0.000 0.500 0.000
0.500 0.000 0.000
0.000 0.000 0.000
0.611 0.611 0.778
0.389 0.389 0.222
```

Calculated values
As for the crystal system: tetragonal. As for the space group: I4/mmm. For the energy of formation, the calculation gives 1.289 eV/atom. As for the density of states at the Fermi level: 8.249 states/eV per cell.


Record 10
A plane-wave DFT calculation with GGA-PBE was carried out for a relaxed structure of CdInIN2.

Cell and atoms, written as POSCAR:
```
CdInIN2
1.0
-2.597 2.463 2.959
-2.429 -3.817 1.046
4.008 -1.291 4.591
I N Cd In
1 2 1 1
direct
0.000 0.000 0.500
0.000 0.500 0.000
0.500 0.000 0.000
0.000 0.000 0.000
0.500 0.500 0.500
```

Calculated values
The energy relative to the elements, uncorrected comes out at 135.05 kJ/mol of atoms. The energy above the most stable polymorph in this dataset is 0.1241 eV/atom. As for the crystal system: tetragonal. As for the space group: P4/mmm. As for the density of states at the Fermi level: 1.323 states/eV per cell.


Record 11
A plane-wave DFT calculation with GGA-PBE was carried out for a relaxed structure of Ac2AlAg2O6.

Cell and atoms, written as POSCAR:
```
Ac2AlAg2O6
1.0
6.197 0.000 0.000
3.098 5.367 0.000
3.098 1.789 5.115
Ac Al Ag O
2 1 2 6
direct
0.789 0.789 0.633
0.211 0.211 0.367
0.000 0.000 0.000
0.410 0.410 0.771
0.590 0.590 0.229
0.780 0.780 0.251
0.188 0.780 0.251
0.780 0.188 0.251
0.220 0.812 0.749
0.812 0.220 0.749
0.220 0.220 0.749
```

Calculated values
The energy relative to the elements, uncorrected comes out at -182.27 kJ/mol of atoms. As for the crystal system: trigonal. As for the space group: R-3m. As for the density of states at the Fermi level: 9.094 states/eV per cell.


Record 12
A plane-wave DFT calculation with GGA-PBE was carried out for a relaxed structure of NaMgPb3.

Cell and atoms, written as POSCAR:
```
NaMgPb3
1.0
3.693 0.000 0.000
0.000 7.172 0.000
0.000 -3.586 6.211
Na Mg Pb
1 1 3
direct
0.000 0.667 0.333
0.000 0.333 0.667
0.500 0.146 0.854
0.500 0.709 0.854
0.500 0.146 0.291
```

Calculated values
The energy above the most stable polymorph in this dataset is 0.1188 eV/atom. As for the crystal system: hexagonal. As for the space group: P-6m2. For the energy of formation, the calculation gives 0.035 eV/atom. As for the density of states at the Fermi level: 2.694 states/eV per cell.


Record 13
A plane-wave DFT calculation with GGA-PBE was carried out for a relaxed structure of LaFeTe2.

Cell and atoms, written as POSCAR:
```
LaFeTe2
1.0
-0.449 7.197 -1.345
-4.480 5.761 -0.743
-1.938 6.555 2.660
Fe La Te
1 1 2
direct
0.567 0.567 0.567
0.755 0.755 0.755
0.989 0.989 0.989
0.188 0.188 0.188
```

Calculated values
The energy relative to the elements, uncorrected comes out at -59.63 kJ/mol of atoms. As for the crystal system: trigonal. As for the space group: R3m. As for the density of states at the Fermi level: 5.351 states/eV per cell.


Record 14
A plane-wave DFT calculation with GGA-PBE was carried out for a relaxed structure of HgWS2N.

Cell and atoms, written as POSCAR:
```
HgWS2N
1.0
-0.578 4.769 -1.448
-4.982 -0.596 0.027
-0.119 1.169 3.898
S Hg W N
2 1 1 1
direct
0.000 0.500 0.000
0.500 0.000 0.000
0.000 0.000 0.000
0.500 0.500 0.500
0.000 0.000 0.500
```

Calculated values
The energy relative to the elements, uncorrected comes out at 197.89 kJ/mol of atoms. The energy above the most stable polymorph in this dataset is 1.8950 eV/atom. As for the crystal system: tetragonal. As for the space group: P4/mmm. As for the density of states at the Fermi level: 1.838 states/eV per cell.


Record 15
A plane-wave DFT calculation with GGA-PBE was carried out for a relaxed structure of Sb2MoPd2.

Cell and atoms, written as POSCAR:
```
Sb2MoPd2
1.0
7.451 0.000 0.000
0.000 7.451 0.000
0.000 0.000 3.412
Sb Mo Pd
4 2 4
direct
0.338 0.838 0.000
0.838 0.662 0.000
0.662 0.162 0.000
0.162 0.338 0.000
0.000 0.000 0.000
0.500 0.500 0.000
0.138 0.638 0.500
0.638 0.862 0.500
0.862 0.362 0.500
0.362 0.138 0.500
```

Calculated values
The energy relative to the elements, uncorrected comes out at 6.40 kJ/mol of atoms. As for the crystal system: tetragonal. As for the space group: P4/mbm. As for the density of states at the Fermi level: 7.089 states/eV per cell.


Record 16
A plane-wave DFT calculation with GGA-PBE was carried out for a relaxed structure of CrRe6Tc2.

Cell and atoms, written as POSCAR:
```
CrRe6Tc2
1.0
7.578 0.000 0.000
0.000 4.364 0.002
0.000 -0.008 8.327
Cr Re Tc
2 12 4
direct
0.500 0.500 0.000
0.000 0.000 0.500
0.818 0.500 0.158
0.817 0.500 0.842
0.818 0.500 0.500
0.682 0.000 0.000
0.683 0.000 0.342
0.682 0.000 0.658
0.318 0.000 0.342
0.317 0.000 0.658
0.318 0.000 0.000
0.182 0.500 0.500
0.183 0.500 0.158
0.182 0.500 0.842
0.500 0.500 0.294
0.500 0.500 0.706
0.000 0.000 0.206
0.000 0.000 0.794
```

Calculated values
As for the crystal system: orthorhombic. As for the space group: Immm. For the energy of formation, the calculation gives 0.364 eV/atom. As for the density of states at the Fermi level: 18.838 states/eV per cell.


Record 17
A plane-wave DFT calculation with GGA-PBE was carried out for a relaxed structure of BaMnHg3.

Cell and atoms, written as POSCAR:
```
BaMnHg3
1.0
5.172 0.000 0.000
0.000 5.172 0.000
0.000 0.000 5.172
Mn Hg Ba
1 3 1
direct
0.000 0.000 0.000
0.000 0.500 0.000
0.000 0.000 0.500
0.500 0.000 0.000
0.500 0.500 0.500
```

Calculated values
The energy above the most stable polymorph in this dataset is 0.0000 eV/atom. As for the crystal system: cubic. As for the space group: Pm-3m. For the energy of formation, the calculation gives 0.092 eV/atom. As for the density of states at the Fermi level: 6.150 states/eV per cell.


Record 18
A plane-wave DFT calculation with GGA-PBE was carried out for a relaxed structure of YTl2TcO6.

Cell and atoms, written as POSCAR:
```
YTl2TcO6
1.0
5.796 0.000 0.000
0.000 6.455 0.000
0.000 -3.227 5.590
Y Tl Tc O
1 2 1 6
direct
0.500 0.000 0.000
0.026 0.333 0.667
0.974 0.667 0.333
0.000 0.000 0.000
0.798 0.136 0.272
0.798 0.136 0.864
0.798 0.728 0.864
0.202 0.864 0.136
0.202 0.272 0.136
0.202 0.864 0.728
```

Calculated values
The energy relative to the elements, uncorrected comes out at -146.83 kJ/mol of atoms. As for the crystal system: trigonal. As for the space group: P-3m1.


Record 19
A plane-wave DFT calculation with GGA-PBE was carried out for a relaxed structure of LaDy6Ho2.

Cell and atoms, written as POSCAR:
```
LaDy6Ho2
1.0
-2.837 -1.277 -1.928
0.519 -6.519 0.081
-7.756 -3.086 9.983
La Dy Ho
1 6 2
direct
0.000 0.000 0.000
0.695 0.502 0.108
0.305 0.498 0.892
0.354 0.770 0.522
0.038 0.608 0.315
0.962 0.392 0.685
0.646 0.230 0.478
0.332 0.083 0.254
0.668 0.917 0.746
```

Calculated values
The energy above the most stable polymorph in this dataset is 0.0343 eV/atom. As for the crystal system: monoclinic. As for the space group: C2/m. For the energy of formation, the calculation gives 0.055 eV/atom. As for the density of states at the Fermi level: 13.924 states/eV per cell.


Record 20
A plane-wave DFT calculation with GGA-PBE was carried out for a relaxed structure of Li4Dy3TiSe8.

Cell and atoms, written as POSCAR:
```
Li4Dy3TiSe8
1.0
7.964 0.000 0.000
0.000 7.945 -0.020
-3.982 -3.977 5.635
Li Dy Ti Se
4 3 1 8
direct
0.500 0.000 0.000
0.500 0.000 0.500
0.000 0.000 0.000
0.000 0.000 0.500
0.500 0.500 0.000
0.500 0.500 0.500
0.000 0.500 0.500
0.000 0.500 0.000
0.240 0.747 0.007
0.240 0.747 0.480
0.248 0.243 0.495
0.767 0.747 0.007
0.233 0.253 0.993
0.752 0.757 0.505
0.760 0.253 0.520
0.760 0.253 0.993
```

Calculated values
The energy relative to the elements, uncorrected comes out at -148.77 kJ/mol of atoms. As for the crystal system: trigonal. As for the space group: R-3m. As for the density of states at the Fermi level: 5.273 states/eV per cell.


Record 21
A plane-wave DFT calculation with GGA-PBE was carried out for a relaxed structure of Y4HgI5.

Cell and atoms, written as POSCAR:
```
Y4HgI5
1.0
-0.831 -3.975 -1.214
5.361 -3.106 6.497
-8.066 2.411 5.030
Y Hg I
4 1 5
direct
0.655 0.075 0.309
0.001 0.224 0.003
0.345 0.925 0.691
0.999 0.776 0.997
0.500 0.000 0.000
0.168 0.336 0.337
0.173 0.826 0.346
0.827 0.174 0.654
0.500 0.500 0.000
0.832 0.664 0.663
```

Calculated values
The energy relative to the elements, uncorrected comes out at -97.70 kJ/mol of atoms. As for the crystal system: monoclinic. As for the space group: C2/m. As for the density of states at the Fermi level: 4.260 states/eV per cell.


Record 22
A plane-wave DFT calculation with GGA-PBE was carried out for a relaxed structure of RbErPt4.

Cell and atoms, written as POSCAR:
```
RbErPt4
1.0
-1.468 -0.468 -5.292
-4.968 -1.991 -1.316
-3.843 3.347 -2.100
Rb Pt Er
1 4 1
direct
0.250 0.250 0.250
0.625 0.625 0.124
0.625 0.124 0.625
0.625 0.625 0.625
0.124 0.625 0.625
0.000 0.000 0.000
```

Calculated values
As for the crystal system: cubic. As for the space group: F-43m. For the energy of formation, the calculation gives -0.527 eV/atom. As for the density of states at the Fermi level: 4.180 states/eV per cell.


Record 23
A plane-wave DFT calculation with GGA-PBE was carried out for a relaxed structure of LiTi2TcAg.

Cell and atoms, written as POSCAR:
```
LiTi2TcAg
1.0
4.419 0.000 0.000
0.000 4.077 0.000
0.000 0.000 4.419
Li Tc Ag Ti
1 1 1 2
direct
0.000 0.000 0.000
0.000 0.500 0.000
0.500 0.500 0.500
0.000 0.000 0.500
0.500 0.000 0.000
```

Calculated values
As for the crystal system: tetragonal. As for the space group: P4/mmm. For the energy of formation, the calculation gives 0.886 eV/atom. As for the density of states at the Fermi level: 5.684 states/eV per cell.